[1]
Pr4Nd3Rh4: optimized geometry, PBE.

a = 4.7107 Å, b = 7.8701 Å, c = 15.7629 Å
α = 90.00°, β = 90.00°, γ = 90.00°
Closest atoms and distances in Å follow each position.
Space group Immm (No. 71)
Inequivalent atoms, fractional coordinates:
Pr1 0.0000 0.2160 0.1677 [8 per cell]  4 Rh 2.77-3.00
Nd1 0.0000 0.0000 0.4023 [4 per cell]  1 Nd 3.08, 4 Rh 3.15, 4 Pr 3.43
Nd2 0.0000 0.5000 0.5000 [2 per cell]  6 Rh 3.23-3.45
Rh1 0.0000 0.3194 0.0000 [4 per cell]  2 Pr 2.77, 1 Rh 2.84
Rh2 0.0000 0.5000 0.2951 [4 per cell]  6 Pr 2.96-3.00, 1 Nd 3.23

## Properties
Crystal system: orthorhombic
DFT formation energy in eV/atom: -0.45

---

[2]
K3Ce2HoO6: optimized geometry, PBE.

a = 6.2168 Å, b = 10.7685 Å, c = 6.6097 Å
α = 90.00°, β = 108.26°, γ = 90.00°
Closest atoms and distances in Å follow each position.
Space group C2/m (No. 12)
Inequivalent atoms, fractional coordinates:
K1 0.0000 0.0000 0.0000 [2 per cell]  6 O 2.83-2.90
K2 0.0000 0.3350 0.0000 [4 per cell]  6 O 2.82-2.91
Ce1 0.0000 0.1668 0.5000 [4 per cell]  6 O 2.41
Ho1 0.0000 0.5000 0.5000 [2 per cell]  6 O 2.33
O1 0.2241 0.3385 0.6878 [8 per cell]  1 Ho 2.33, 2 Ce 2.41
O2 0.2395 0.0000 0.6876 [4 per cell]  1 Ho 2.33, 2 Ce 2.41

## Properties
Crystal system: monoclinic
Formation energy without anion corrections in eV/atom: -2.64

---

[3]
Pr3Hg4Au: optimized geometry, PBE.

a = 4.0013 Å, b = 9.3838 Å, c = 12.4165 Å
α = 90.00°, β = 90.00°, γ = 90.00°
Closest atoms and distances in Å follow each position.
Space group Immm (No. 71)
Inequivalent atoms, fractional coordinates:
Pr1 0.0000 0.0000 0.0000 [2 per cell]  8 Hg 3.34
Pr2 0.0000 0.5000 0.1898 [4 per cell]  2 Au 3.09, 6 Hg 3.11-3.32
Hg1 0.0000 0.2710 0.3712 [8 per cell]  1 Au 3.00, 5 Pr 3.11-3.34, 1 Hg 3.20
Au1 0.0000 0.0000 0.5000 [2 per cell]  4 Hg 3.00, 4 Pr 3.09

## Properties
Crystal system: orthorhombic
DFT formation energy in eV/atom: -0.41

---

[4]
MnReB2: optimized geometry, PBE.

a = 4.5550 Å, b = 4.5550 Å, c = 9.4474 Å
α = 90.00°, β = 90.00°, γ = 90.00°
Closest atoms and distances in Å follow each position.
Space group I-42d (No. 122)
Inequivalent atoms, fractional coordinates:
Mn1 0.0000 0.0000 0.0000 [4 per cell]  4 B 1.94
Re1 0.0000 0.0000 0.5000 [4 per cell]  4 B 2.06
B1 0.2278 0.2500 0.1250 [8 per cell]  2 Mn 1.94, 2 Re 2.06

## Properties
Offset from the most stable computed form in kcal/mol of atoms: 28.314
Crystal system: tetragonal
DFT formation energy in eV/atom: 0.89

---

[5]
Sm2GdP: optimized geometry, PBE.

a = 3.8237 Å, b = 3.8237 Å, c = 30.7718 Å
α = 90.00°, β = 90.00°, γ = 120.00°
Closest atoms and distances in Å follow each position.
Space group R-3m (No. 166, hexagonal axes)
Inequivalent atoms, fractional coordinates:
Sm1 0.0000 0.0000 0.1126 [6 per cell]  3 P 2.76
Gd1 0.0000 0.0000 0.0000 [3 per cell]  2 Sm 3.46, 6 Gd 3.82
P1 0.0000 0.0000 0.5000 [3 per cell]  6 Sm 2.76

## Properties
Crystal system: trigonal
DFT formation energy in eV/atom: -0.51

---

[6]
Pr2Tm3Pb: optimized geometry, PBE.

a = 4.8999 Å, b = 15.3008 Å, c = 4.9394 Å
α = 90.00°, β = 90.00°, γ = 90.00°
Closest atoms and distances in Å follow each position.
Space group Cmmm (No. 65)
Inequivalent atoms, fractional coordinates:
Pr1 0.0000 0.1618 0.0000 [4 per cell]  8 Tm 3.48-3.62, 2 Pb 3.48, 2 Pr 3.65
Tm1 0.0000 0.0000 0.5000 [2 per cell]  4 Pb 3.48, 4 Pr 3.50, 4 Tm 3.52
Tm2 0.0000 0.3347 0.5000 [4 per cell]  6 Pr 3.48-3.62, 4 Tm 3.52-3.57, 2 Pb 3.54
Pb1 0.0000 0.5000 0.0000 [2 per cell]  8 Tm 3.48-3.54, 4 Pr 3.48

## Properties
Crystal system: orthorhombic
DFT formation energy in eV/atom: -0.15

---

[7]
Cs3K6Tl2: optimized geometry, PBE.

a = 6.8630 Å, b = 6.8630 Å, c = 33.5388 Å
α = 90.00°, β = 90.00°, γ = 90.00°
Closest atoms and distances in Å follow each position.
Space group I4/mmm (No. 139)
Inequivalent atoms, fractional coordinates:
Cs1 0.0000 0.0000 0.0000 [2 per cell]  8 K 4.39
Cs2 0.0000 0.0000 0.1984 [4 per cell]  9 K 4.79-5.21
K1 0.0000 0.0000 0.3413 [4 per cell]  1 Tl 3.86, 4 K 4.30
K2 0.0000 0.5000 0.0815 [8 per cell]  2 Tl 3.66
Tl1 0.0000 0.0000 0.4564 [4 per cell]  1 Tl 2.93

## Properties
Crystal system: tetragonal
DFT formation energy in eV/atom: 0.01

---

[8]
RbScInCl2: optimized geometry, PBE.

a = 5.0623 Å, b = 5.0623 Å, c = 8.3581 Å
α = 90.00°, β = 90.00°, γ = 90.00°
Closest atoms and distances in Å follow each position.
Space group P4/mmm (No. 123)
Inequivalent atoms, fractional coordinates:
Rb1 0.0000 0.0000 0.0000 [1 per cell]  4 In 3.58
Sc1 0.0000 0.0000 0.5000 [1 per cell]  4 Cl 2.53
In1 0.5000 0.5000 0.0000 [1 per cell]  4 Rb 3.58
Cl1 0.0000 0.5000 0.5000 [2 per cell]  2 Sc 2.53

## Properties
Crystal system: tetragonal
Formation energy without anion corrections in eV/atom: -0.67

---

[9]
MgMn2As: optimized geometry, PBE.

a = 3.3255 Å, b = 3.3255 Å, c = 5.6644 Å
α = 90.00°, β = 90.00°, γ = 90.00°
Closest atoms and distances in Å follow each position.
Space group P4/mmm (No. 123)
Inequivalent atoms, fractional coordinates:
Mg1 0.0000 0.0000 0.0000 [1 per cell]  8 Mn 2.81, 2 As 2.83
Mn1 0.5000 0.5000 0.2703 [2 per cell]  1 Mn 2.60, 4 As 2.69, 4 Mg 2.81
As1 0.0000 0.0000 0.5000 [1 per cell]  8 Mn 2.69, 2 Mg 2.83

## Properties
Crystal system: tetragonal
DFT formation energy in eV/atom: 0.06

---

[10]
LaThTeSe2: optimized geometry, PBE.

a = 4.7335 Å, b = 4.7335 Å, c = 14.2818 Å
α = 90.00°, β = 90.00°, γ = 90.00°
Closest atoms and distances in Å follow each position.
Space group I4mm (No. 107)
Inequivalent atoms, fractional coordinates:
La1 0.0000 0.0000 0.0000 [2 per cell]  4 Se 2.95
Th1 0.0000 0.0000 0.2620 [2 per cell]  4 Se 2.88
Te1 0.0000 0.0000 0.6371 [2 per cell]  4 Th 3.79, 4 La 3.88, 4 Se 4.16
Se1 0.0000 0.5000 0.3767 [4 per cell]  2 Th 2.88, 2 La 2.95

## Properties
Crystal system: tetragonal
Formation energy without anion corrections in eV/atom: -1.40

---

[11]
ZnPO2F: optimized geometry, PBE.

a = 3.6568 Å, b = 3.6568 Å, c = 5.6796 Å
α = 90.00°, β = 90.00°, γ = 90.00°
Closest atoms and distances in Å follow each position.
Space group P4/mmm (No. 123)
Inequivalent atoms, fractional coordinates:
Zn1 0.0000 0.0000 0.0000 [1 per cell]  4 O 1.83
P1 0.0000 0.0000 0.5000 [1 per cell]  4 F 2.59, 2 Zn 2.84
O1 0.0000 0.5000 0.0000 [2 per cell]  2 Zn 1.83
F1 0.5000 0.5000 0.5000 [1 per cell]  4 P 2.59

## Properties
Crystal system: tetragonal
Formation energy without anion corrections in eV/atom: 0.21

---

[12]
KAl2Se2: optimized geometry, PBE.

a = 5.0542 Å, b = 5.0542 Å, c = 9.3490 Å
α = 90.00°, β = 90.00°, γ = 90.00°
Closest atoms and distances in Å follow each position.
Space group I4/mmm (No. 139)
Inequivalent atoms, fractional coordinates:
K1 0.0000 0.0000 0.0000 [2 per cell]  2 Al 3.29, 8 Se 3.44
Al1 0.0000 0.0000 0.3522 [4 per cell]  4 Se 2.70, 1 Al 2.76
Se1 0.0000 0.5000 0.2500 [4 per cell]  4 Al 2.70

## Properties
Offset from the most stable computed form in kcal/mol of atoms: 0.000
Crystal system: tetragonal
Formation energy without anion corrections in eV/atom: -0.58

---

[13]
SrCaAs2: optimized geometry, PBE.

a = 7.4224 Å, b = 7.4224 Å, c = 7.4224 Å
α = 90.00°, β = 90.00°, γ = 90.00°
Closest atoms and distances in Å follow each position.
Space group F-43m (No. 216)
Inequivalent atoms, fractional coordinates:
Sr1 0.0000 0.0000 0.0000 [4 per cell]  4 As 3.21, 4 Ca 3.21
Ca1 0.2500 0.2500 0.7500 [4 per cell]  4 As 3.21, 4 Sr 3.21
As1 0.0000 0.0000 0.5000 [4 per cell]  4 As 3.21, 4 Ca 3.21
As2 0.2500 0.2500 0.2500 [4 per cell]  4 As 3.21, 4 Sr 3.21

## Properties
Offset from the most stable computed form in kcal/mol of atoms: 16.147
Crystal system: cubic
DFT formation energy in eV/atom: -0.27